Record 1
Below is crystalline Re2C at its relaxed geometry, with properties calculated at the PBE level.

extended XYZ file:
```
12
Lattice="5.319 0.000 0.000 0.000 5.319 0.000 0.000 0.000 5.319" Properties=species:S:1:pos:R:3 pbc="T T T"
Re 1.330 1.330 1.330
Re 1.330 1.330 3.989
Re 1.330 3.989 1.330
Re 1.330 3.989 3.989
Re 3.989 1.330 1.330
Re 3.989 1.330 3.989
Re 3.989 3.989 1.330
Re 3.989 3.989 3.989
C 0.000 0.000 0.000
C 0.000 2.660 2.660
C 2.660 0.000 2.660
C 2.660 2.660 0.000
```

Formation enthalpy at 0 K, eV/atom: 1.1933
Volume, Å³/f.u.: 37.6
Polymorph energy (0 for the lowest one), kcal/mol of atoms: 28.29
Density of states at the Fermi level, states/eV per cell: 7.3
Electronic total energy, eV/atom: -10.180

---

Record 2
Below is crystalline Re5C at its relaxed geometry, with properties calculated at the PBE level.

extended XYZ file:
```
6
Lattice="4.955 0.000 0.000 -2.477 4.291 0.000 0.000 0.000 4.703" Properties=species:S:1:pos:R:3 pbc="T T T"
Re -1.239 2.145 0.000
Re 0.000 2.861 2.351
Re 2.477 0.000 0.000
Re 1.239 2.145 0.000
Re 2.477 1.430 2.351
C 0.000 0.000 2.351
```

Formation enthalpy at 0 K, eV/atom: 1.6605
Volume, Å³/f.u.: 100.0
Polymorph energy (0 for the lowest one), kcal/mol of atoms: 34.60
Density of states at the Fermi level, states/eV per cell: 4.2
Electronic total energy, eV/atom: -10.250

---

Record 3
Below is crystalline Re5C at its relaxed geometry, with properties calculated at the PBE level.

extended XYZ file:
```
12
Lattice="4.152 0.000 0.000 0.000 4.174 0.000 0.000 0.000 10.244" Properties=species:S:1:pos:R:3 pbc="T T T"
Re 0.000 0.000 0.000
Re 0.000 0.000 3.139
Re 0.000 0.000 6.822
Re 0.000 2.087 1.700
Re 0.000 2.087 5.122
Re 0.000 2.087 8.261
Re 2.076 0.000 4.923
Re 2.076 0.000 8.268
Re 2.076 2.087 3.146
Re 2.076 2.087 10.045
C 2.076 0.000 0.096
C 2.076 2.087 5.218
```

Formation enthalpy at 0 K, eV/atom: 0.4812
Volume, Å³/f.u.: 88.8
Polymorph energy (0 for the lowest one), kcal/mol of atoms: 7.40
Density of states at the Fermi level, states/eV per cell: 7.4
Electronic total energy, eV/atom: -11.430

---

Record 4
Below is crystalline ReC3 at its relaxed geometry, with properties calculated at the PBE level.

extended XYZ file:
```
8
Lattice="4.037 0.000 0.000 0.000 4.037 0.000 0.000 0.000 4.037" Properties=species:S:1:pos:R:3 pbc="T T T"
Re 0.000 0.000 0.000
Re 2.019 2.019 2.019
C 0.000 1.009 2.019
C 0.000 3.028 2.019
C 1.009 2.019 0.000
C 2.019 0.000 1.009
C 2.019 0.000 3.028
C 3.028 2.019 0.000
```

Formation enthalpy at 0 K, eV/atom: 2.1664
Volume, Å³/f.u.: 32.9
Polymorph energy (0 for the lowest one), kcal/mol of atoms: 30.77
Density of states at the Fermi level, states/eV per cell: 2.3
Electronic total energy, eV/atom: -7.864

---

Record 5
Below is crystalline Re2C at its relaxed geometry, with properties calculated at the PBE level.

extended XYZ file:
```
12
Lattice="5.370 0.000 0.000 -2.685 4.651 0.000 0.000 0.000 8.505" Properties=species:S:1:pos:R:3 pbc="T T T"
Re 0.000 0.000 0.000
Re 0.000 0.000 4.253
Re 0.000 1.549 2.126
Re -1.344 3.876 2.126
Re 1.341 0.774 6.379
Re 1.344 3.876 2.126
Re 4.029 0.774 6.379
Re 2.685 3.102 6.379
C 0.000 3.101 0.793
C 0.000 3.101 3.459
C 2.685 1.550 5.046
C 2.685 1.550 7.712
```

Formation enthalpy at 0 K, eV/atom: 1.8822
Volume, Å³/f.u.: 53.1
Polymorph energy (0 for the lowest one), kcal/mol of atoms: 44.18
Density of states at the Fermi level, states/eV per cell: 8.5
Electronic total energy, eV/atom: -9.491

---

Record 6
Below is crystalline Re7C5 at its relaxed geometry, with properties calculated at the PBE level.

extended XYZ file:
```
12
Lattice="-3.792 3.792 2.909 3.792 -3.792 2.909 3.792 3.792 -2.909" Properties=species:S:1:pos:R:3 pbc="T T T"
Re 0.000 0.000 0.000
Re 3.792 0.000 1.896
Re 3.792 1.997 0.403
Re 1.997 3.792 0.403
Re 1.796 0.000 3.312
Re 0.000 1.796 3.312
Re 0.000 3.792 1.896
C 1.361 1.361 -0.896
C 2.431 -2.431 2.013
C 0.000 0.000 1.973
C -2.431 2.431 2.013
C 2.431 2.431 2.013
```

Formation enthalpy at 0 K, eV/atom: 1.3061
Volume, Å³/f.u.: 167.4
Density of states at the Fermi level, states/eV per cell: 8.3
Electronic total energy, eV/atom: -9.799

---

Record 7
Below is crystalline Re4C at its relaxed geometry, with properties calculated at the PBE level.

extended XYZ file:
```
5
Lattice="4.071 0.000 0.000 0.000 4.071 0.000 0.000 0.000 4.071" Properties=species:S:1:pos:R:3 pbc="T T T"
Re 0.000 0.000 0.000
Re 0.000 2.035 2.035
Re 2.035 0.000 2.035
Re 2.035 2.035 0.000
C 2.035 2.035 2.035
```

Formation enthalpy at 0 K, eV/atom: 0.2958
Volume, Å³/f.u.: 67.5
Polymorph energy (0 for the lowest one), kcal/mol of atoms: 0.00
Density of states at the Fermi level, states/eV per cell: 3.2
Electronic total energy, eV/atom: -11.508

---

Record 8
Below is crystalline Re2C at its relaxed geometry, with properties calculated at the PBE level.

extended XYZ file:
```
12
Lattice="2.758 0.000 0.000 0.000 11.776 0.000 0.000 0.000 4.381" Properties=species:S:1:pos:R:3 pbc="T T T"
Re 0.000 0.838 1.095
Re 0.000 2.522 3.285
Re 0.000 9.254 1.095
Re 0.000 10.939 3.285
Re 1.379 3.366 1.095
Re 1.379 5.050 3.285
Re 1.379 6.726 1.095
Re 1.379 8.411 3.285
C 0.000 5.030 1.095
C 0.000 6.747 3.285
C 1.379 0.858 3.285
C 1.379 10.918 1.095
```

Formation enthalpy at 0 K, eV/atom: 0.6673
Volume, Å³/f.u.: 35.6
Polymorph energy (0 for the lowest one), kcal/mol of atoms: 16.16
Density of states at the Fermi level, states/eV per cell: 7.1
Electronic total energy, eV/atom: -10.706

---

Record 9
Below is crystalline ReC3 at its relaxed geometry, with properties calculated at the PBE level.

extended XYZ file:
```
4
Lattice="4.018 0.000 0.000 0.000 4.018 0.000 0.000 0.000 4.018" Properties=species:S:1:pos:R:3 pbc="T T T"
Re 0.000 0.000 0.000
C 0.000 0.000 2.009
C 0.000 2.009 0.000
C 2.009 0.000 0.000
```

Formation enthalpy at 0 K, eV/atom: 2.1608
Volume, Å³/f.u.: 64.9
Polymorph energy (0 for the lowest one), kcal/mol of atoms: 30.64
Density of states at the Fermi level, states/eV per cell: 0.4
Electronic total energy, eV/atom: -7.869

---

Record 10
Below is crystalline Re2C at its relaxed geometry, with properties calculated at the PBE level.

extended XYZ file:
```
6
Lattice="3.990 0.000 0.000 0.000 3.990 0.000 0.000 0.000 4.687" Properties=species:S:1:pos:R:3 pbc="T T T"
Re 0.998 0.998 0.309
Re 0.998 2.993 2.344
Re 2.993 0.998 2.344
Re 2.993 2.993 4.379
C 0.998 0.998 3.028
C 2.993 2.993 1.660
```

Formation enthalpy at 0 K, eV/atom: 0.5915
Volume, Å³/f.u.: 37.3
Polymorph energy (0 for the lowest one), kcal/mol of atoms: 14.41
Density of states at the Fermi level, states/eV per cell: 3.0
Electronic total energy, eV/atom: -10.782

---

Record 11
Below is crystalline Re5C at its relaxed geometry, with properties calculated at the PBE level.

extended XYZ file:
```
12
Lattice="4.245 0.000 0.000 0.000 2.810 0.000 0.000 0.000 14.474" Properties=species:S:1:pos:R:3 pbc="T T T"
Re 0.000 0.000 0.000
Re 0.000 0.000 4.753
Re 0.000 0.000 9.508
Re 0.000 1.405 2.271
Re 0.000 1.405 7.237
Re 0.000 1.405 11.990
Re 2.123 0.000 6.367
Re 2.123 0.000 11.135
Re 2.123 1.405 3.898
Re 2.123 1.405 13.604
C 2.123 0.000 2.386
C 2.123 1.405 9.623
```

Formation enthalpy at 0 K, eV/atom: 0.6049
Volume, Å³/f.u.: 86.3
Polymorph energy (0 for the lowest one), kcal/mol of atoms: 10.25
Density of states at the Fermi level, states/eV per cell: 9.1
Electronic total energy, eV/atom: -11.306

---

Record 12
Below is crystalline Re3C4 at its relaxed geometry, with properties calculated at the PBE level.

extended XYZ file:
```
7
Lattice="4.690 0.000 0.000 0.000 4.690 0.000 0.000 0.000 4.690" Properties=species:S:1:pos:R:3 pbc="T T T"
Re 0.000 0.000 2.345
Re 0.000 2.345 0.000
Re 2.345 0.000 0.000
C 1.038 1.038 1.038
C 1.038 3.652 3.652
C 3.652 1.038 3.652
C 3.652 3.652 1.038
```

Formation enthalpy at 0 K, eV/atom: 1.0251
Volume, Å³/f.u.: 103.2
Polymorph energy (0 for the lowest one), kcal/mol of atoms: 1.72
Density of states at the Fermi level, states/eV per cell: 4.2
Electronic total energy, eV/atom: -9.581

---

| no. | total magnetic moment (μB/atom) |
| --- | --- |
| 1 | 0.000 |
| 2 | 0.000 |
| 3 | 0.000 |
| 4 | 0.000 |
| 5 | 0.000 |
| 6 | 0.000 |
| 7 | 0.000 |
| 8 | 0.000 |
| 9 | 0.000 |
| 10 | 0.000 |
| 11 | 0.000 |
| 12 | 0.000 |